Record 1
Nd2MnFe3Si4: optimized geometry, PBE-GGA.

abc: 3.9910 3.9910 10.0216
angles: 90.00 90.00 90.00
Last column: magnetic moment on the atom in μB.
Atoms (fractional coordinates):
Si1 0.0000 0.0000 0.6407  0.01
Si2 0.5000 0.5000 0.1252  -0.06
Si3 0.5000 0.5000 0.8593  0.01
Si4 0.0000 0.0000 0.3748  -0.06
Nd1 0.0000 0.0000 0.9934  -0.01
Nd2 0.5000 0.5000 0.5066  -0.01
Mn1 0.0000 0.5000 0.2500  2.23
Fe1 0.5000 0.0000 0.2500  0.70
Fe2 0.5000 0.0000 0.7500  0.01
Fe3 0.0000 0.5000 0.7500  -0.40

Properties
Formation energy from raw total energies in meV/atom: -604

=====

Record 2
NaNb3Se: optimized geometry, PBE-GGA.

abc: 4.7368 4.7368 4.7368
angles: 90.00 90.00 90.00
Atoms (fractional coordinates):
Nb1 0.5000 0.0000 0.0000
Nb2 0.0000 0.5000 0.0000
Nb3 0.0000 0.0000 0.5000
Na1 0.0000 0.0000 0.0000
Se1 0.5000 0.5000 0.5000

Properties
Formation energy from raw total energies in meV/atom: 2032
Energy above the most stable polymorph in this dataset in meV/atom: 1214

=====

Record 3
Pa2SbSe2O: optimized geometry, PBE-GGA.

abc: 5.6975 7.6149 8.1707
angles: 117.77 110.41 90.00
Last column: magnetic moment on the atom in μB.
Atoms (fractional coordinates):
O1 0.7500 0.5000 0.0000  -0.04
O2 0.2500 0.5000 0.0000  -0.04
Pa1 0.1072 0.7726 0.2143  0.96
Pa2 0.6072 0.4417 0.2143  0.96
Pa3 0.3928 0.5583 0.7857  0.96
Pa4 0.8928 0.2274 0.7857  0.96
Se1 0.6922 0.8676 0.3843  -0.04
Se2 0.8078 0.4832 0.6157  -0.04
Se3 0.3078 0.1324 0.6157  -0.04
Se4 0.1922 0.5168 0.3843  -0.04
Sb1 0.2500 0.0000 0.0000  -0.02
Sb2 0.7500 0.0000 0.0000  -0.02

Properties
Formation energy from raw total energies in meV/atom: -1624

=====

Record 4
Ce3Pr3MgSe8: optimized geometry, PBE-GGA.

abc: 8.4060 8.4062 8.4498
angles: 119.83 90.00 120.00
Last column: magnetic moment on the atom in μB.
Atoms (fractional coordinates):
Ce1 0.5000 0.5000 0.5000  0.90
Ce2 0.0000 0.5000 0.5000  0.90
Ce3 0.5000 0.0000 0.5000  0.90
Pr1 0.0000 0.0000 0.0000  0.02
Pr2 0.0000 0.5000 0.0000  0.02
Pr3 0.5000 0.5000 0.0000  0.02
Se1 0.7486 0.4972 0.7459  -0.01
Se2 0.7616 0.5233 0.2644  -0.01
Se3 0.7615 0.0028 0.2643  -0.01
Se4 0.2410 0.0028 0.2645  -0.01
Se5 0.7590 0.9972 0.7355  -0.01
Se6 0.2385 0.9972 0.7357  -0.01
Se7 0.2514 0.5028 0.2541  -0.01
Se8 0.2384 0.4767 0.7356  -0.01
Mg1 0.0000 0.0000 0.5000  0.00

Properties
Formation energy from raw total energies in meV/atom: -1757

=====

Record 5
NiPdCl2: optimized geometry, PBE-GGA.

abc: 5.7408 5.7408 6.4533
angles: 63.59 63.59 90.00
Last column: magnetic moment on the atom in μB.
Atoms (fractional coordinates):
Cl1 0.8750 0.8354 0.7500  0.13
Cl2 0.3750 0.4146 0.7500  0.13
Cl3 0.1646 0.6250 0.2500  0.13
Cl4 0.5854 0.1250 0.2500  0.13
Ni1 0.5000 0.5000 0.0000  1.05
Ni2 0.2500 0.7500 0.5000  1.05
Pd1 0.0000 0.0000 0.0000  0.51
Pd2 0.7500 0.2500 0.5000  0.51

Properties
Formation energy from raw total energies in meV/atom: -12
Energy above the most stable polymorph in this dataset in meV/atom: 0

=====

Record 6
P2IrRu: optimized geometry, PBE-GGA.

abc: 2.9646 2.9646 7.6803
angles: 90.00 90.00 121.46
Atoms (fractional coordinates):
P1 0.0000 0.0000 0.4954
P2 0.0000 0.0000 0.0046
Ru1 0.5000 0.5000 0.2500
Ir1 0.5000 0.5000 0.7500

Properties
Energy of formation from the pure elements in meV per atom: 264
Energy above the most stable polymorph in this dataset in meV/atom: 727

=====

Record 7
Cu4Pb3: optimized geometry, PBE-GGA.

abc: 6.4167 6.4167 4.5087
angles: 90.00 90.00 120.00
Atoms (fractional coordinates):
Pb1 0.5000 0.5000 0.0000
Pb2 0.0000 0.5000 0.0000
Pb3 0.5000 0.0000 0.0000
Cu1 0.0000 0.0000 0.7502
Cu2 0.0000 0.0000 0.2498
Cu3 0.3333 0.6667 0.5000
Cu4 0.6667 0.3333 0.5000

Properties
Energy of formation from the pure elements in meV per atom: 594

=====

Record 8
La2Pm12Sm5: optimized geometry, PBE-GGA.

abc: 9.3875 12.5675 8.8745
angles: 132.49 90.00 111.93
Atoms (fractional coordinates):
Pm1 0.1724 0.7366 0.4170
Pm2 0.9298 0.8597 0.7367
Pm3 0.9687 0.2966 0.0541
Pm4 0.4409 0.8818 0.2274
Pm5 0.5641 0.7366 0.4170
Pm6 0.0702 0.1403 0.2633
Pm7 0.6721 0.7034 0.9459
Pm8 0.4359 0.2634 0.5830
Pm9 0.3279 0.2966 0.0541
Pm10 0.0313 0.7034 0.9459
Pm11 0.8276 0.2634 0.5830
Pm12 0.5591 0.1182 0.7726
Sm1 0.0000 0.0000 0.5000
Sm2 0.2324 0.4648 0.8974
Sm3 0.7130 0.4260 0.3890
Sm4 0.7676 0.5352 0.1026
Sm5 0.2870 0.5740 0.6110
La1 0.3317 0.0000 0.0000
La2 0.6683 0.0000 0.0000

Properties
Energy of formation from the pure elements in meV per atom: 127
Energy above the most stable polymorph in this dataset in meV/atom: 12

=====

Record 9
Sr2ZrHg: optimized geometry, PBE-GGA.

abc: 9.1542 9.1542 7.2695
angles: 50.98 50.98 90.00
Last column: magnetic moment on the atom in μB.
Atoms (fractional coordinates):
Hg1 0.7500 0.2500 0.5000  0.01
Hg2 0.0000 0.0000 0.0000  0.01
Sr1 0.3750 0.3375 0.7500  0.06
Sr2 0.6625 0.1250 0.2500  0.06
Sr3 0.8750 0.9125 0.7500  0.06
Sr4 0.0875 0.6250 0.2500  0.06
Zr1 0.2500 0.7500 0.5000  0.99
Zr2 0.5000 0.5000 0.0000  0.98

Properties
Energy of formation from the pure elements in meV per atom: 428

=====

Record 10
SrYTeOs2: optimized geometry, PBE-GGA.

abc: 4.9190 5.7358 4.9190
angles: 90.00 90.00 90.00
Last column: magnetic moment on the atom in μB.
Atoms (fractional coordinates):
Os1 0.0000 0.0000 0.5000  0.90
Os2 0.5000 0.0000 0.0000  0.95
Y1 0.0000 0.5000 0.0000  -0.08
Te1 0.5000 0.5000 0.5000  0.03
Sr1 0.0000 0.0000 0.0000  -0.04

Properties
Formation energy from raw total energies in meV/atom: 2284

=====

Record 11
La2TmHg2: optimized geometry, PBE-GGA.

abc: 4.0294 6.6864 6.6864
angles: 67.27 72.46 72.46
Atoms (fractional coordinates):
La1 0.7884 0.7116 0.7116
La2 0.2116 0.2884 0.2884
Tm1 0.0000 0.0000 0.0000
Hg1 0.5000 0.2938 0.7062
Hg2 0.5000 0.7062 0.2938

Properties
Energy of formation from the pure elements in meV per atom: -328
Energy above the most stable polymorph in this dataset in meV/atom: 21

=====

Record 12
K3RuCl6: optimized geometry, PBE-GGA.

abc: 8.5776 8.5776 8.5776
angles: 91.02 91.02 91.02
Last column: magnetic moment on the atom in μB.
Atoms (fractional coordinates):
Cl1 0.4512 0.7681 0.5630  0.02
Cl2 0.2319 0.4370 0.5488  0.02
Cl3 0.2625 0.0772 0.9417  0.02
Cl4 0.5630 0.4512 0.7681  0.02
Cl5 0.7375 0.9228 0.0583  0.02
Cl6 0.0583 0.7375 0.9228  0.02
Cl7 0.7681 0.5630 0.4512  0.02
Cl8 0.9228 0.0583 0.7375  0.02
Cl9 0.5488 0.2319 0.4370  0.02
Cl10 0.0772 0.9417 0.2625  0.02
Cl11 0.4370 0.5488 0.2319  0.02
Cl12 0.9417 0.2625 0.0772  0.02
K1 0.7509 0.9270 0.4317  0.00
K2 0.9270 0.4317 0.7509  0.00
K3 0.4317 0.7509 0.9270  0.00
K4 0.2491 0.0730 0.5683  0.00
K5 0.5683 0.2491 0.0730  0.00
K6 0.0730 0.5683 0.2491  0.00
Ru1 0.0000 0.0000 0.0000  0.81
Ru2 0.5000 0.5000 0.5000  0.78

Properties
Formation energy from raw total energies in meV/atom: -1367
Energy above the most stable polymorph in this dataset in meV/atom: 6

=====

Record 13
SrIrN3: optimized geometry, PBE-GGA.

abc: 4.2704 4.2704 4.2704
angles: 90.00 90.00 90.00
Atoms (fractional coordinates):
Sr1 0.0000 0.0000 0.0000
N1 0.0000 0.0000 0.5000
N2 0.0000 0.5000 0.0000
N3 0.5000 0.0000 0.0000
Ir1 0.5000 0.5000 0.5000

Properties
Formation energy from raw total energies in meV/atom: 3172

=====

Record 14
Th2MgZn2Rh5: optimized geometry, PBE-GGA.

abc: 3.6855 9.8426 9.8426
angles: 90.00 90.00 90.00
Atoms (fractional coordinates):
Rh1 0.5000 0.2050 0.0757
Rh2 0.5000 0.4243 0.2950
Rh3 0.5000 0.5000 0.0000
Rh4 0.5000 0.0000 0.5000
Rh5 0.5000 0.5757 0.7050
Rh6 0.5000 0.0757 0.7950
Rh7 0.5000 0.7050 0.4243
Rh8 0.5000 0.7950 0.9243
Rh9 0.5000 0.2950 0.5757
Rh10 0.5000 0.9243 0.2050
Zn1 0.0000 0.1205 0.6205
Zn2 0.0000 0.6205 0.8795
Zn3 0.0000 0.8795 0.3795
Zn4 0.0000 0.3795 0.1205
Mg1 0.0000 0.5000 0.5000
Mg2 0.0000 0.0000 0.0000
Th1 0.0000 0.1774 0.3226
Th2 0.0000 0.8226 0.6774
Th3 0.0000 0.6774 0.1774
Th4 0.0000 0.3226 0.8226

Properties
Energy of formation from the pure elements in meV per atom: -636

=====

Record 15
TlGe2BOs: optimized geometry, PBE-GGA.

abc: 4.2047 4.9006 4.2047
angles: 90.00 90.00 90.00
Atoms (fractional coordinates):
B1 0.0000 0.0000 0.0000
Ge1 0.5000 0.0000 0.0000
Ge2 0.0000 0.0000 0.5000
Tl1 0.0000 0.5000 0.0000
Os1 0.5000 0.5000 0.5000

Properties
Energy of formation from the pure elements in meV per atom: 1328

=====

Record 16
Cs5KNa6: optimized geometry, PBE-GGA.

abc: 7.3035 12.5804 12.5804
angles: 120.53 106.93 106.93
Atoms (fractional coordinates):
Na1 0.7046 0.2040 0.2040
Na2 0.7757 0.9330 0.6201
Na3 0.2954 0.7960 0.7960
Na4 0.2243 0.0670 0.3799
Na5 0.7757 0.6201 0.9330
Na6 0.2243 0.3799 0.0670
Cs1 0.5000 0.8195 0.1805
Cs2 0.0000 0.3402 0.6598
Cs3 0.5000 0.1805 0.8195
Cs4 0.5000 0.5000 0.5000
Cs5 0.0000 0.6598 0.3402
K1 0.0000 0.0000 0.0000

Properties
Energy of formation from the pure elements in meV per atom: 29

=====

Record 17
Nd2Ge3Pt4Rh: optimized geometry, PBE-GGA.

abc: 4.2221 4.2221 10.8194
angles: 90.00 90.00 90.00
Atoms (fractional coordinates):
Rh1 0.5000 0.5000 0.5000
Nd1 0.0000 0.5000 0.7438
Nd2 0.5000 0.0000 0.2562
Pt1 0.0000 0.5000 0.3547
Pt2 0.5000 0.0000 0.6453
Pt3 0.0000 0.0000 0.0000
Pt4 0.5000 0.5000 0.0000
Ge1 0.0000 0.5000 0.1307
Ge2 0.5000 0.0000 0.8693
Ge3 0.0000 0.0000 0.5000

Properties
Energy of formation from the pure elements in meV per atom: -818

=====

Record 18
Tb2ZnGe: optimized geometry, PBE-GGA.

abc: 4.5548 4.5548 6.1904
angles: 68.41 68.41 60.00
Atoms (fractional coordinates):
Zn1 0.5000 0.5000 0.5000
Tb1 0.7462 0.7462 0.7614
Tb2 0.2538 0.2538 0.2386
Ge1 0.0000 0.0000 0.0000

Properties
Energy of formation from the pure elements in meV per atom: -458

=====

Record 19
LaIn2Sb: optimized geometry, PBE-GGA.

abc: 4.0223 4.0223 7.0136
angles: 90.00 90.00 90.00
Last column: magnetic moment on the atom in μB.
Atoms (fractional coordinates):
Sb1 0.5000 0.5000 0.7500  0.01
In1 0.0000 0.0000 0.5311  0.01
In2 0.0000 0.0000 0.9689  0.01
La1 0.5000 0.5000 0.2500  0.12

Properties
Formation energy from raw total energies in meV/atom: -342
Energy above the most stable polymorph in this dataset in meV/atom: 240

=====

Record 20
Y3TaPd: optimized geometry, PBE-GGA.

abc: 5.3838 5.3838 5.3838
angles: 90.00 90.00 90.00
Atoms (fractional coordinates):
Y1 0.0000 0.5000 0.0000
Y2 0.5000 0.0000 0.0000
Y3 0.0000 0.0000 0.5000
Pd1 0.5000 0.5000 0.5000
Ta1 0.0000 0.0000 0.0000

Properties
Energy of formation from the pure elements in meV per atom: 691
Energy above the most stable polymorph in this dataset in meV/atom: 193

=====

Record 21
Hg4TeI4: optimized geometry, PBE-GGA.

abc: 4.7459 12.2225 12.2225
angles: 90.00 90.00 90.00
Atoms (fractional coordinates):
I1 0.2499 0.9699 0.3413
I2 0.2501 0.1587 0.9699
I3 0.2501 0.3413 0.5301
I4 0.7501 0.0301 0.6587
I5 0.7501 0.4699 0.8413
I6 0.2499 0.5301 0.1587
I7 0.7499 0.6587 0.4699
I8 0.7499 0.8413 0.0301
Hg1 0.7497 0.0386 0.1538
Hg2 0.7503 0.3462 0.0386
Hg3 0.7503 0.1538 0.4614
Hg4 0.2497 0.8462 0.5386
Hg5 0.2503 0.5386 0.6538
Hg6 0.7497 0.4614 0.3462
Hg7 0.2503 0.9614 0.8462
Hg8 0.2497 0.6538 0.9614
Te1 0.7500 0.2500 0.2500
Te2 0.2500 0.7500 0.7500

Properties
Formation energy from raw total energies in meV/atom: -130

=====

Number 1: magnetization 2.43 μB per formula unit. Number 2: magnetization 0.00 μB per formula unit. Number 3: magnetization 2.00 μB per formula unit. Number 4: magnetization 3.17 μB per formula unit. Number 5: magnetization 1.90 μB per formula unit. Number 6: magnetization 0.00 μB per formula unit. Number 7: magnetization 0.00 μB per formula unit. Number 8: magnetization 0.00 μB per formula unit. Number 9: magnetization 2.02 μB per formula unit. Number 10: magnetization 1.85 μB per formula unit. Number 11: magnetization 0.00 μB per formula unit. Number 12: magnetization 1.00 μB per formula unit. Number 13: magnetization 0.00 μB per formula unit. Number 14: magnetization 0.00 μB per formula unit. Number 15: magnetization 0.00 μB per formula unit. Number 16: magnetization 0.00 μB per formula unit. Number 17: magnetization 0.00 μB per formula unit. Number 18: magnetization 0.00 μB per formula unit. Number 19: magnetization 0.35 μB per formula unit. Number 20: magnetization 0.00 μB per formula unit. Number 21: magnetization 0.00 μB per formula unit.